Nd3Be2Si4: optimized geometry, PBE.

Output
* energy relative to the lowest polymorph listed for this composition: 153 meV per atom
* formation energy from raw total energies: -0.54 eV per atom

abc: 5.856 5.856 8.371
angles: 108.55 108.55 39.95
Fractional coordinates of all 9 atoms:
Nd (0.000, 0.000, 0.000)
Nd (0.385, 0.385, 0.315)
Nd (0.615, 0.615, 0.685)
Be (0.320, 0.320, 0.681)
Be (0.680, 0.680, 0.319)
Si (0.125, 0.125, 0.403)
Si (0.276, 0.276, 0.937)
Si (0.724, 0.724, 0.063)
Si (0.875, 0.875, 0.597)

Nd2BeSi3: optimized geometry, PBE.

Output
* energy relative to the lowest polymorph listed for this composition: 0 meV per atom
* formation energy from raw total energies: -0.69 eV per atom

abc: 8.102 7.962 5.828
angles: 70.02 67.45 42.53
Fractional coordinates of all 12 atoms:
Nd (0.246, 0.754, 0.246)
Nd (0.250, 0.250, 0.250)
Nd (0.750, 0.750, 0.750)
Nd (0.754, 0.246, 0.754)
Be (0.334, 0.334, 0.666)
Be (0.666, 0.666, 0.334)
Si (0.172, 0.172, 0.828)
Si (0.175, 0.653, 0.825)
Si (0.347, 0.825, 0.653)
Si (0.653, 0.175, 0.347)
Si (0.825, 0.347, 0.175)
Si (0.828, 0.828, 0.172)

Nd2Be2Si3: optimized geometry, PBE.

Output
* formation energy from raw total energies: -0.47 eV per atom

abc: 9.506 9.506 6.788
angles: 90.00 90.00 155.53
Fractional coordinates of all 14 atoms:
Nd (0.046, 0.954, 0.750)
Nd (0.171, 0.829, 0.250)
Nd (0.829, 0.171, 0.750)
Nd (0.954, 0.046, 0.250)
Be (0.337, 0.663, 0.095)
Be (0.337, 0.663, 0.405)
Be (0.663, 0.337, 0.595)
Be (0.663, 0.337, 0.905)
Si (0.205, 0.795, 0.750)
Si (0.439, 0.561, 0.576)
Si (0.439, 0.561, 0.924)
Si (0.561, 0.439, 0.076)
Si (0.561, 0.439, 0.424)
Si (0.795, 0.205, 0.250)

NdBeSi: optimized geometry, PBE.

Output
* formation energy from raw total energies: -0.53 eV per atom

abc: 3.941 4.250 6.864
angles: 90.00 90.00 90.00
Fractional coordinates of all 6 atoms:
Nd (0.000, 0.000, 0.000)
Nd (0.500, 0.000, 0.500)
Be (0.000, 0.500, 0.337)
Be (0.000, 0.500, 0.663)
Si (0.500, 0.500, 0.175)
Si (0.500, 0.500, 0.825)

Nd3Be2Si4: optimized geometry, PBE.

Output
* energy relative to the lowest polymorph listed for this composition: 0 meV per atom
* formation energy from raw total energies: -0.69 eV per atom

abc: 5.837 5.837 8.068
angles: 96.23 96.23 39.64
Fractional coordinates of all 9 atoms:
Nd (0.000, 0.000, 0.000)
Nd (0.335, 0.335, 0.333)
Nd (0.665, 0.665, 0.667)
Be (0.391, 0.391, 0.719)
Be (0.609, 0.609, 0.281)
Si (0.061, 0.061, 0.384)
Si (0.284, 0.284, 0.936)
Si (0.716, 0.716, 0.064)
Si (0.939, 0.939, 0.616)

NdBe3Si3: optimized geometry, PBE.

Output
* formation energy from raw total energies: 0.13 eV per atom

abc: 6.164 6.164 6.164
angles: 90.00 90.00 90.00
Fractional coordinates of all 14 atoms:
Nd (0.000, 0.000, 0.000)
Nd (0.500, 0.500, 0.500)
Be (0.000, 0.250, 0.500)
Be (0.000, 0.750, 0.500)
Be (0.250, 0.500, 0.000)
Be (0.500, 0.000, 0.250)
Be (0.500, 0.000, 0.750)
Be (0.750, 0.500, 0.000)
Si (0.000, 0.500, 0.250)
Si (0.000, 0.500, 0.750)
Si (0.250, 0.000, 0.500)
Si (0.500, 0.250, 0.000)
Si (0.500, 0.750, 0.000)
Si (0.750, 0.000, 0.500)

NdBe2Si2: optimized geometry, PBE.

Output
* formation energy from raw total energies: -0.29 eV per atom

abc: 5.740 5.740 6.283
angles: 102.56 102.56 121.32
Fractional coordinates of all 10 atoms:
Nd (0.125, 0.875, 0.750)
Nd (0.875, 0.125, 0.250)
Be (0.276, 0.527, 0.053)
Be (0.473, 0.724, 0.447)
Be (0.527, 0.276, 0.553)
Be (0.724, 0.473, 0.947)
Si (0.176, 0.824, 0.250)
Si (0.427, 0.573, 0.750)
Si (0.573, 0.427, 0.250)
Si (0.824, 0.176, 0.750)

NdBeSi: optimized geometry, PBE.

Output
* formation energy from raw total energies: -0.59 eV per atom

abc: 3.958 3.958 4.252
angles: 90.00 90.00 120.00
Fractional coordinates of all 3 atoms:
Nd (0.000, 0.000, 0.000)
Be (0.333, 0.667, 0.500)
Si (0.667, 0.333, 0.500)

Nd2BeSi3: optimized geometry, PBE.

Output
* energy relative to the lowest polymorph listed for this composition: 20 meV per atom
* formation energy from raw total energies: -0.67 eV per atom

abc: 3.998 4.283 6.852
angles: 90.00 90.00 90.00
Fractional coordinates of all 6 atoms:
Nd (0.000, 0.000, 0.000)
Nd (0.500, 0.000, 0.499)
Be (0.000, 0.500, 0.673)
Si (0.000, 0.500, 0.348)
Si (0.500, 0.500, 0.164)
Si (0.500, 0.500, 0.819)

NdThBe2Si2: optimized geometry, PBE.

Output
* formation energy from raw total energies: -0.63 eV per atom

abc: 3.943 3.943 8.506
angles: 90.00 90.00 120.00
Fractional coordinates of all 6 atoms:
Nd (0.000, 0.000, 0.000)
Th (0.000, 0.000, 0.500)
Be (0.333, 0.667, 0.252)
Be (0.667, 0.333, 0.748)
Si (0.333, 0.667, 0.750)
Si (0.667, 0.333, 0.250)

NdYBe2Si2: optimized geometry, PBE.

Output
* formation energy from raw total energies: -0.64 eV per atom

abc: 3.912 3.912 8.290
angles: 90.00 90.00 120.00
Fractional coordinates of all 6 atoms:
Nd (0.000, 0.000, 0.000)
Y (0.000, 0.000, 0.500)
Be (0.333, 0.667, 0.743)
Be (0.667, 0.333, 0.257)
Si (0.333, 0.667, 0.258)
Si (0.667, 0.333, 0.742)

Nd2Be4ZnSi3: optimized geometry, PBE.

Output
* formation energy from raw total energies: -0.39 eV per atom

abc: 3.963 3.963 9.767
angles: 90.00 90.00 90.00
Fractional coordinates of all 10 atoms:
Nd (0.000, 0.500, 0.247)
Nd (0.500, 0.000, 0.753)
Be (0.000, 0.000, 0.000)
Be (0.000, 0.500, 0.634)
Be (0.500, 0.000, 0.366)
Be (0.500, 0.500, 0.000)
Zn (0.000, 0.000, 0.500)
Si (0.000, 0.500, 0.870)
Si (0.500, 0.000, 0.130)
Si (0.500, 0.500, 0.500)

NdSm2Be: optimized geometry, PBE.

Output
* DFT formation energy: 0.098 eV per atom

abc: 3.555 3.555 8.774
angles: 90.00 90.00 90.00
Fractional coordinates of all 4 atoms:
Nd (0.000, 0.000, 0.000)
Sm (0.500, 0.500, 0.309)
Sm (0.500, 0.500, 0.691)
Be (0.000, 0.000, 0.500)

NdSmBeZn: optimized geometry, PBE.

Output
* DFT formation energy: -0.050 eV per atom

abc: 7.172 7.172 7.172
angles: 90.00 90.00 90.00
Fractional coordinates of all 16 atoms:
Nd (0.000, 0.000, 0.000)
Nd (0.000, 0.500, 0.500)
Nd (0.500, 0.000, 0.500)
Nd (0.500, 0.500, 0.000)
Sm (0.000, 0.000, 0.500)
Sm (0.000, 0.500, 0.000)
Sm (0.500, 0.000, 0.000)
Sm (0.500, 0.500, 0.500)
Be (0.250, 0.250, 0.250)
Be (0.250, 0.750, 0.750)
Be (0.750, 0.250, 0.750)
Be (0.750, 0.750, 0.250)
Zn (0.250, 0.250, 0.750)
Zn (0.250, 0.750, 0.250)
Zn (0.750, 0.250, 0.250)
Zn (0.750, 0.750, 0.750)

Tb2NdBe: optimized geometry, PBE.

Output
* energy relative to the lowest polymorph listed for this composition: 0 meV per atom
* DFT formation energy: 0.075 eV per atom

abc: 3.495 3.495 8.742
angles: 90.00 90.00 90.00
Fractional coordinates of all 4 atoms:
Tb (0.000, 0.000, 0.189)
Tb (0.000, 0.000, 0.811)
Nd (0.500, 0.500, 0.500)
Be (0.500, 0.500, 0.000)

TbNdBe: optimized geometry, PBE.

Output
* DFT formation energy: 0.126 eV per atom

abc: 3.545 3.545 12.143
angles: 90.00 90.00 90.00
Fractional coordinates of all 6 atoms:
Tb (0.000, 0.000, 0.000)
Tb (0.500, 0.500, 0.500)
Nd (0.000, 0.000, 0.729)
Nd (0.500, 0.500, 0.229)
Be (0.000, 0.000, 0.374)
Be (0.500, 0.500, 0.874)

Tb2NdBe: optimized geometry, PBE.

Output
* energy relative to the lowest polymorph listed for this composition: 635 meV per atom
* DFT formation energy: 0.709 eV per atom

abc: 3.489 3.489 34.491
angles: 90.00 90.00 120.00
Fractional coordinates of all 12 atoms:
Tb (0.000, 0.000, 0.084)
Tb (0.000, 0.000, 0.916)
Tb (0.333, 0.667, 0.583)
Tb (0.333, 0.667, 0.750)
Tb (0.667, 0.333, 0.250)
Tb (0.667, 0.333, 0.417)
Nd (0.000, 0.000, 0.500)
Nd (0.333, 0.667, 0.167)
Nd (0.667, 0.333, 0.833)
Be (0.000, 0.000, 0.000)
Be (0.333, 0.667, 0.667)
Be (0.667, 0.333, 0.333)

TbNd2Be: optimized geometry, PBE.

Output
* DFT formation energy: 0.122 eV per atom

abc: 3.586 3.586 8.663
angles: 90.00 90.00 90.00
Fractional coordinates of all 4 atoms:
Tb (0.000, 0.000, 0.000)
Nd (0.500, 0.500, 0.303)
Nd (0.500, 0.500, 0.697)
Be (0.000, 0.000, 0.500)

TbNdBeZn: optimized geometry, PBE.

Output
* DFT formation energy: -0.062 eV per atom

abc: 7.120 7.120 7.120
angles: 90.00 90.00 90.00
Fractional coordinates of all 16 atoms:
Tb (0.000, 0.000, 0.000)
Tb (0.000, 0.500, 0.500)
Tb (0.500, 0.000, 0.500)
Tb (0.500, 0.500, 0.000)
Nd (0.000, 0.000, 0.500)
Nd (0.000, 0.500, 0.000)
Nd (0.500, 0.000, 0.000)
Nd (0.500, 0.500, 0.500)
Be (0.250, 0.250, 0.750)
Be (0.250, 0.750, 0.250)
Be (0.750, 0.250, 0.250)
Be (0.750, 0.750, 0.750)
Zn (0.250, 0.250, 0.250)
Zn (0.250, 0.750, 0.750)
Zn (0.750, 0.250, 0.750)
Zn (0.750, 0.750, 0.250)

NdBeTe2: optimized geometry, PBE.

Output
* formation energy from raw total energies: -0.07 eV per atom

abc: 3.796 3.796 27.590
angles: 90.00 90.00 120.00
Fractional coordinates of all 12 atoms:
Nd (0.000, 0.000, 0.000)
Nd (0.333, 0.667, 0.667)
Nd (0.667, 0.333, 0.333)
Be (0.000, 0.000, 0.500)
Be (0.333, 0.667, 0.167)
Be (0.667, 0.333, 0.833)
Te (0.000, 0.000, 0.113)
Te (0.000, 0.000, 0.887)
Te (0.333, 0.667, 0.554)
Te (0.333, 0.667, 0.780)
Te (0.667, 0.333, 0.220)
Te (0.667, 0.333, 0.446)

no.,final energy (eV per atom)
1,-5.369
2,-5.616
3,-5.219
4,-5.170
5,-5.522
6,-4.471
7,-4.899
8,-5.232
9,-5.596
10,-5.713
11,-5.559
12,-4.586
13,-4.385
14,-3.672
15,-4.364
16,-4.249
17,-3.730
18,-4.351
19,-3.661
20,-3.769